Version i
A relaxed structure of TbGd2Ag. Source: Alexandria, functional PBE.

abc: 3.6285 3.6285 8.7373
angles: 90.00 90.00 90.00
Positions (direct):
Gd  0.0000  0.0000  0.7151
Gd  0.0000  0.0000  0.2849
Tb  0.5000  0.5000  0.0000
Ag  0.5000  0.5000  0.5000

=====

Version ii
A relaxed structure of TbGd2Ag. Source: Alexandria, functional PBE.

abc: 3.4396 3.4396 11.8758
angles: 81.67 81.67 60.00
Positions (direct):
Gd  0.0854  0.0854  0.7437
Gd  0.9146  0.9146  0.2563
Tb  0.5000  0.5000  0.5000
Ag  0.0000  0.0000  0.0000

=====

What should be chosen as the least stable of them? Choose version ii.

=====

Version i
A relaxed structure of TbGd2Ag. Source: Alexandria, functional PBE.

abc: 5.4047 5.4047 5.4047
angles: 60.00 60.00 60.00
Positions (direct):
Gd  0.2500  0.2500  0.2500
Gd  0.7500  0.7500  0.7500
Tb  0.0000  0.0000  0.0000
Ag  0.5000  0.5000  0.5000

=====

Version ii
A relaxed structure of TbGd2Ag. Source: Alexandria, functional PBE.

abc: 3.7300 5.4760 5.4760
angles: 90.00 90.00 90.00
Positions (direct):
Gd  0.0000  0.0000  0.5000
Gd  0.0000  0.5000  0.0000
Tb  0.5000  0.5000  0.5000
Ag  0.5000  0.0000  0.0000

=====

What should be chosen as the least stable of them? Choose version i.